w.
Li2ReH | PBE | optimized geometry

abc: 4.176 4.176 4.176
angles: 60.00 60.00 60.00
Element x y z (fractional)
1 Li 0.250 0.250 0.250
2 Li 0.750 0.750 0.750
3 Re 0.000 0.000 0.000
4 H 0.500 0.500 0.500

Values from the calculation:
The space group is Fm-3m.

x.
Li2ReH | PBE | optimized geometry

abc: 4.781 4.781 4.781
angles: 60.00 60.00 60.00
Element x y z (fractional)
1 Li 0.000 0.000 0.000
2 Li 0.000 0.000 0.500
3 Li 0.000 0.500 0.000
4 Li 0.500 0.000 0.000
5 Re 0.375 0.375 0.375
6 Re 0.625 0.625 0.625
7 H 0.125 0.125 0.125
8 H 0.875 0.875 0.875

Values from the calculation:
The space group is Fd-3m.

Stability verdict: x, ahead by 0.888 eV/atom

w.
LiReH2 | PBE | optimized geometry

abc: 3.454 3.454 3.454
angles: 60.00 60.00 60.00
Element x y z (fractional)
1 Li 0.000 0.000 0.000
2 Re 0.500 0.500 0.500
3 H 0.250 0.250 0.250
4 H 0.750 0.750 0.750

Values from the calculation:
The space group is Fm-3m.

x.
LiReH2 | PBE | optimized geometry

abc: 4.970 4.970 4.970
angles: 33.41 33.41 33.41
Element x y z (fractional)
1 Li 0.000 0.000 0.000
2 Re 0.500 0.500 0.500
3 H 0.235 0.235 0.235
4 H 0.765 0.765 0.765

Values from the calculation:
The space group is R-3m.

y.
LiReH2 | PBE | optimized geometry

abc: 4.497 4.497 4.497
angles: 118.25 118.25 93.06
Element x y z (fractional)
1 Li 0.000 0.000 0.000
2 Li 0.750 0.250 0.500
3 Re 0.250 0.750 0.500
4 Re 0.500 0.500 0.000
5 H 0.126 0.125 0.501
6 H 0.375 0.874 0.999
7 H 0.624 0.625 0.499
8 H 0.875 0.376 0.001

Values from the calculation:
The space group is I-42d.

Stability verdict: x, ahead by 0.068 eV/atom

w.
LiRe2H | PBE | optimized geometry

abc: 3.941 3.941 3.941
angles: 60.00 60.00 60.00
Element x y z (fractional)
1 Li 0.000 0.000 0.000
2 Re 0.250 0.250 0.250
3 Re 0.750 0.750 0.750
4 H 0.500 0.500 0.500

Values from the calculation:
The space group is Fm-3m.

x.
LiRe2H | PBE | optimized geometry

abc: 5.479 5.479 5.479
angles: 60.00 60.00 60.00
Element x y z (fractional)
1 Li 0.125 0.125 0.125
2 Li 0.875 0.875 0.875
3 Re 0.000 0.500 0.500
4 Re 0.500 0.000 0.500
5 Re 0.500 0.500 0.000
6 Re 0.500 0.500 0.500
7 H 0.375 0.375 0.375
8 H 0.625 0.625 0.625

Values from the calculation:
The space group is Fd-3m.

Stability verdict: x, ahead by 0.251 eV/atom

w.
Li3H2Rh | PBE | optimized geometry

abc: 5.397 5.397 5.397
angles: 118.17 102.37 108.28
Element x y z (fractional)
1 Li 0.208 0.000 0.708
2 Li 0.208 0.500 0.208
3 Li 0.276 0.026 0.250
4 Li 0.724 0.974 0.750
5 Li 0.792 0.000 0.292
6 Li 0.792 0.500 0.792
7 H 0.038 0.288 0.750
8 H 0.500 0.000 0.000
9 H 0.500 0.500 0.500
10 H 0.962 0.712 0.250
11 Rh 0.305 0.555 0.750
12 Rh 0.695 0.445 0.250

Values from the calculation:
The space group is Imma.

x.
Li3H2Rh | PBE | optimized geometry

abc: 2.840 4.819 4.836
angles: 68.15 89.84 89.48
Element x y z (fractional)
1 Li 0.000 0.000 0.000
2 Li 0.000 0.500 0.500
3 Li 0.500 0.000 0.500
4 H 0.001 0.291 0.211
5 H 0.999 0.709 0.789
6 Rh 0.500 0.500 0.000

Values from the calculation:
The space group is P-1.

Stability verdict: x, ahead by 0.024 eV/atom

w.
Li5H12Rh3 | PBE | optimized geometry

abc: 9.115 9.115 9.115
angles: 109.47 109.47 109.47
Element x y z (fractional)
1 Li 0.000 0.000 0.000
2 Li 0.000 0.000 0.500
3 Li 0.000 0.500 0.000
4 Li 0.000 0.500 0.500
5 Li 0.125 0.750 0.875
6 Li 0.125 0.875 0.250
7 Li 0.250 0.125 0.875
8 Li 0.250 0.625 0.375
9 Li 0.375 0.250 0.625
10 Li 0.375 0.625 0.750
11 Li 0.500 0.000 0.000
12 Li 0.500 0.000 0.500
13 Li 0.500 0.500 0.000
14 Li 0.500 0.500 0.500
15 Li 0.625 0.375 0.250
16 Li 0.625 0.750 0.375
17 Li 0.750 0.375 0.625
18 Li 0.750 0.875 0.125
19 Li 0.875 0.125 0.750
20 Li 0.875 0.250 0.125
21 H 0.073 0.239 0.147
22 H 0.073 0.334 0.926
23 H 0.074 0.647 0.408
24 H 0.074 0.927 0.666
25 H 0.092 0.739 0.666
26 H 0.092 0.853 0.426
27 H 0.147 0.073 0.239
28 H 0.147 0.574 0.908
29 H 0.166 0.239 0.592
30 H 0.166 0.427 0.574
31 H 0.239 0.147 0.073
32 H 0.239 0.592 0.166
33 H 0.261 0.334 0.908
34 H 0.261 0.427 0.353
35 H 0.334 0.908 0.261
36 H 0.334 0.926 0.073
37 H 0.353 0.261 0.427
38 H 0.353 0.592 0.926
39 H 0.408 0.074 0.647
40 H 0.408 0.834 0.761
41 H 0.426 0.092 0.853
42 H 0.426 0.834 0.573
43 H 0.427 0.353 0.261
44 H 0.427 0.574 0.166
45 H 0.573 0.426 0.834
46 H 0.573 0.647 0.739
47 H 0.574 0.166 0.427
48 H 0.574 0.908 0.147
49 H 0.592 0.166 0.239
50 H 0.592 0.926 0.353
51 H 0.647 0.408 0.074
52 H 0.647 0.739 0.573
53 H 0.666 0.074 0.927
54 H 0.666 0.092 0.739
55 H 0.739 0.573 0.647
56 H 0.739 0.666 0.092
57 H 0.761 0.408 0.834
58 H 0.761 0.853 0.927
59 H 0.834 0.573 0.426
60 H 0.834 0.761 0.408
61 H 0.853 0.426 0.092
62 H 0.853 0.927 0.761
63 H 0.908 0.147 0.574
64 H 0.908 0.261 0.334
65 H 0.926 0.073 0.334
66 H 0.926 0.353 0.592
67 H 0.927 0.666 0.074
68 H 0.927 0.761 0.853
69 Rh 0.125 0.250 0.375
70 Rh 0.125 0.375 0.750
71 Rh 0.250 0.375 0.125
72 Rh 0.250 0.875 0.625
73 Rh 0.375 0.125 0.250
74 Rh 0.375 0.750 0.125
75 Rh 0.625 0.250 0.875
76 Rh 0.625 0.875 0.750
77 Rh 0.750 0.125 0.375
78 Rh 0.750 0.625 0.875
79 Rh 0.875 0.625 0.250
80 Rh 0.875 0.750 0.625

Values from the calculation:
The space group is Ia-3d.

x.
Li5H12Rh3 | PBE | optimized geometry

abc: 7.966 7.966 2.792
angles: 90.00 90.00 120.00
Element x y z (fractional)
1 Li 0.000 0.715 0.000
2 Li 0.285 0.285 0.000
3 Li 0.333 0.667 0.000
4 Li 0.667 0.333 0.000
5 Li 0.715 0.000 0.000
6 H 0.000 0.190 0.000
7 H 0.000 0.462 0.000
8 H 0.190 0.000 0.000
9 H 0.202 0.757 0.500
10 H 0.243 0.446 0.500
11 H 0.446 0.243 0.500
12 H 0.462 0.000 0.000
13 H 0.538 0.538 0.000
14 H 0.554 0.798 0.500
15 H 0.757 0.202 0.500
16 H 0.798 0.554 0.500
17 H 0.810 0.810 0.000
18 Rh 0.000 0.328 0.500
19 Rh 0.328 0.000 0.500
20 Rh 0.672 0.672 0.500

Values from the calculation:
The space group is P-62m.

Stability verdict: x, ahead by 0.192 eV/atom

w.
LiH6Rh2 | PBE | optimized geometry

abc: 4.706 4.706 4.714
angles: 100.55 100.55 120.83
Element x y z (fractional)
1 Li 0.000 0.000 0.000
2 H 0.082 0.428 0.306
3 H 0.235 0.235 0.692
4 H 0.428 0.082 0.306
5 H 0.572 0.918 0.694
6 H 0.765 0.765 0.308
7 H 0.918 0.572 0.694
8 Rh 0.165 0.835 0.500
9 Rh 0.835 0.165 0.500

Values from the calculation:
The space group is C2/m.

x.
LiH6Rh2 | PBE | optimized geometry

abc: 7.137 7.137 7.137
angles: 155.60 155.60 34.78
Element x y z (fractional)
1 Li 0.000 0.000 0.000
2 H 0.096 0.596 0.500
3 H 0.250 0.750 0.500
4 H 0.404 0.904 0.500
5 H 0.596 0.096 0.500
6 H 0.750 0.250 0.500
7 H 0.904 0.404 0.500
8 Rh 0.338 0.338 0.000
9 Rh 0.662 0.662 0.000

Values from the calculation:
The space group is I4/mmm.

Stability verdict: x, ahead by 0.097 eV/atom